1.
A relaxed Dy7Tl2Cu2 crystal, computed with PBE-GGA.

Values from the calculation:
- space group = Cmmm (65)
- energy of formation from the pure elements (eV/f.u.) = -0.37
- total magnetization (μB per atom) = 0.00

Cell: 6.9001 6.9001 7.0304 Å, 90.00 90.00 108.74°
Last column: nearest neighbours and their distance in Å.
Sites, in units of the cell vectors:
Dy  0.0000  0.0000  0.0000  2 Cu 3.31
Dy  0.0000  0.5000  0.2519  2 Cu 2.73
Dy  0.0000  0.5000  0.7481  2 Cu 2.73
Dy  0.5000  0.0000  0.2519  2 Cu 2.73
Dy  0.5000  0.0000  0.7481  2 Cu 2.73
Dy  0.5000  0.5000  0.2372  2 Cu 2.84, 2 Tl 3.16
Dy  0.5000  0.5000  0.7628  2 Cu 2.84, 2 Tl 3.16
Tl  0.1808  0.1808  0.5000  1 Tl 2.91, 2 Dy 3.16
Tl  0.8192  0.8192  0.5000  1 Tl 2.91, 2 Dy 3.16
Cu  0.2951  0.7049  0.0000  6 Dy 2.73-2.84
Cu  0.7049  0.2951  0.0000  6 Dy 2.73-2.84

2.
A relaxed Zr2Re2Ru crystal, computed with PBE-GGA.

Values from the calculation:
- space group = P4/mbm (127)
- energy of formation from the pure elements (eV/f.u.) = 3.05
- energy above the lowest structure with this stoichiometry (eV per formula unit) = 2.03
- total magnetization (μB per atom) = 0.00

Cell: 7.5745 7.5745 3.1809 Å, 90.00 90.00 90.00°
Last column: nearest neighbours and their distance in Å.
Sites, in units of the cell vectors:
Zr  0.1471  0.3529  0.0000  6 Re 2.62-2.81, 2 Ru 2.90
Zr  0.3529  0.8529  0.0000  6 Re 2.62-2.81, 2 Ru 2.90
Zr  0.6471  0.1471  0.0000  6 Re 2.62-2.81, 2 Ru 2.90
Zr  0.8529  0.6471  0.0000  6 Re 2.62-2.81, 2 Ru 2.90
Re  0.1586  0.6586  0.5000  6 Zr 2.62-2.81
Re  0.3414  0.1586  0.5000  6 Zr 2.62-2.81
Re  0.6586  0.8414  0.5000  6 Zr 2.62-2.81
Re  0.8414  0.3414  0.5000  6 Zr 2.62-2.81
Ru  0.0000  0.0000  0.0000  4 Zr 2.90, 2 Ru 3.18
Ru  0.5000  0.5000  0.0000  4 Zr 2.90, 2 Ru 3.18

3.
A relaxed La5Hg2 crystal, computed with PBE-GGA.

Values from the calculation:
- space group = C2/c (15)
- energy of formation from the pure elements (eV/f.u.) = -1.78
- total magnetization (μB per atom) = 0.00

Cell: 8.6217 8.6217 9.2422 Å, 96.87 96.87 41.25°
Last column: nearest neighbours and their distance in Å.
Sites, in units of the cell vectors:
La  0.0834  0.6630  0.0465  4 Hg 3.32-3.58, 6 La 3.44-3.70
La  0.1206  0.4207  0.6764  2 Hg 3.26-3.63, 5 La 3.43-3.63
La  0.2179  0.7821  0.7500  4 Hg 3.35-3.47, 4 La 3.62-3.67
La  0.3370  0.9166  0.4535  4 Hg 3.32-3.58, 6 La 3.44-3.70
La  0.4207  0.1206  0.1764  2 Hg 3.26-3.63, 5 La 3.43-3.63
La  0.5793  0.8794  0.8236  2 Hg 3.26-3.63, 5 La 3.43-3.63
La  0.6630  0.0834  0.5465  4 Hg 3.32-3.58, 6 La 3.44-3.70
La  0.7821  0.2179  0.2500  4 Hg 3.35-3.47, 4 La 3.62-3.67
La  0.8794  0.5793  0.3236  2 Hg 3.26-3.63, 5 La 3.43-3.63
La  0.9166  0.3370  0.9535  4 Hg 3.32-3.58, 6 La 3.44-3.70
Hg  0.2370  0.6071  0.4020  8 La 3.26-3.63
Hg  0.3929  0.7630  0.0980  8 La 3.26-3.63
Hg  0.6071  0.2370  0.9020  8 La 3.26-3.63
Hg  0.7630  0.3929  0.5980  8 La 3.26-3.63

4.
A relaxed Ca6Bi3Pb crystal, computed with PBE-GGA.

Values from the calculation:
- space group = P2_1/m (11)
- energy of formation from the pure elements (eV/f.u.) = -6.81
- total magnetization (μB per atom) = 0.00

Cell: 11.5935 5.2580 12.3158 Å, 90.00 114.49 90.00°
Last column: nearest neighbours and their distance in Å.
Sites, in units of the cell vectors:
Ca  0.0052  0.2500  0.1502  4 Bi 3.07-3.32, 1 Pb 3.28
Ca  0.0493  0.2500  0.6899  4 Bi 3.34-3.61, 5 Ca 3.50-3.65
Ca  0.2068  0.7500  0.6094  3 Bi 3.20-3.21, 1 Pb 3.21, 2 Ca 3.57
Ca  0.2574  0.2500  0.0489  3 Bi 3.27-3.36, 2 Pb 3.38, 1 Ca 3.62
Ca  0.3601  0.7500  0.3900  4 Bi 3.15-3.37
Ca  0.4540  0.2500  0.8351  2 Bi 3.40, 3 Pb 3.41-3.46
Ca  0.5460  0.7500  0.1649  2 Bi 3.40, 3 Pb 3.41-3.46
Ca  0.6399  0.2500  0.6100  4 Bi 3.15-3.37
Ca  0.7426  0.7500  0.9511  3 Bi 3.27-3.36, 2 Pb 3.38, 1 Ca 3.62
Ca  0.7932  0.2500  0.3906  3 Bi 3.20-3.21, 1 Pb 3.21, 2 Ca 3.57
Ca  0.9507  0.7500  0.3101  4 Bi 3.34-3.61, 5 Ca 3.50-3.65
Ca  0.9948  0.7500  0.8498  4 Bi 3.07-3.32, 1 Pb 3.28
Bi  0.1296  0.2500  0.4466  6 Ca 3.20-3.49
Bi  0.1343  0.7500  0.1342  6 Ca 3.07-3.36
Bi  0.4930  0.2500  0.3138  7 Ca 3.21-3.40
Bi  0.5070  0.7500  0.6862  7 Ca 3.21-3.40
Bi  0.8657  0.2500  0.8658  6 Ca 3.07-3.36
Bi  0.8704  0.7500  0.5534  6 Ca 3.20-3.49
Pb  0.2940  0.7500  0.8930  7 Ca 3.21-3.46
Pb  0.7060  0.2500  0.1070  7 Ca 3.21-3.46

5.
A relaxed MnTcIr2 crystal, computed with PBE-GGA.

Values from the calculation:
- space group = Fm-3m (225)
- energy of formation from the pure elements (eV/f.u.) = 1.81
- energy above the lowest structure with this stoichiometry (eV per formula unit) = 2.53
- total magnetization (μB per atom) = 0.00

Cell: 6.0864 6.0864 6.0864 Å, 90.00 90.00 90.00°
Last column: nearest neighbours and their distance in Å.
Sites, in units of the cell vectors:
Mn  0.0000  0.0000  0.0000  8 Ir 2.64
Mn  0.0000  0.5000  0.5000  8 Ir 2.64
Mn  0.5000  0.0000  0.5000  8 Ir 2.64
Mn  0.5000  0.5000  0.0000  8 Ir 2.64
Tc  0.0000  0.0000  0.5000  8 Ir 2.64
Tc  0.0000  0.5000  0.0000  8 Ir 2.64
Tc  0.5000  0.0000  0.0000  8 Ir 2.64
Tc  0.5000  0.5000  0.5000  8 Ir 2.64
Ir  0.2500  0.2500  0.2500  4 Mn 2.64, 4 Tc 2.64
Ir  0.2500  0.2500  0.7500  4 Mn 2.64, 4 Tc 2.64
Ir  0.2500  0.7500  0.2500  4 Mn 2.64, 4 Tc 2.64
Ir  0.2500  0.7500  0.7500  4 Tc 2.64, 4 Mn 2.64
Ir  0.7500  0.2500  0.2500  4 Mn 2.64, 4 Tc 2.64
Ir  0.7500  0.2500  0.7500  4 Tc 2.64, 4 Mn 2.64
Ir  0.7500  0.7500  0.2500  4 Tc 2.64, 4 Mn 2.64
Ir  0.7500  0.7500  0.7500  4 Mn 2.64, 4 Tc 2.64

6.
A relaxed SrNdCuTe3 crystal, computed with PBE-GGA.

Values from the calculation:
- space group = P2_1/m (11)
- raw total energy (eV per atom) = -4.5266
- total magnetization (μB per atom) = 0.00

Cell: 9.3190 4.4060 9.7963 Å, 90.00 102.95 90.00°
Last column: nearest neighbours and their distance in Å.
Sites, in units of the cell vectors:
Sr  0.1824  0.2500  0.2424  7 Te 3.37-3.63, 1 Cu 3.66
Sr  0.8176  0.7500  0.7576  7 Te 3.37-3.63, 1 Cu 3.66
Nd  0.3258  0.7500  0.8326  6 Te 3.11-3.24
Nd  0.6742  0.2500  0.1674  6 Te 3.11-3.24
Cu  0.0789  0.2500  0.5811  4 Te 2.69-2.72, 2 Cu 2.91
Cu  0.9211  0.7500  0.4189  4 Te 2.69-2.72, 2 Cu 2.91
Te  0.0934  0.2500  0.8619  1 Cu 2.72
Te  0.2159  0.7500  0.5089  3 Cu 2.69-2.72
Te  0.4308  0.7500  0.1714  3 Nd 3.17-3.24, 2 Sr 3.38
Te  0.5692  0.2500  0.8286  3 Nd 3.17-3.24, 2 Sr 3.38
Te  0.7841  0.2500  0.4911  3 Cu 2.69-2.72
Te  0.9066  0.7500  0.1381  1 Cu 2.72

7.
A relaxed Li4LaAg4 crystal, computed with PBE-GGA.

Values from the calculation:
- space group = I4/m (87)
- energy of formation from the pure elements (eV/f.u.) = -1.29
- total magnetization (μB per atom) = 0.00

Cell: 6.4131 6.4131 6.4131 Å, 97.96 97.96 136.32°
Last column: nearest neighbours and their distance in Å.
Sites, in units of the cell vectors:
Li  0.0706  0.6295  0.7001  1 Li 2.48, 3 Ag 2.57-2.73
Li  0.3705  0.0706  0.4411  1 Li 2.48, 3 Ag 2.57-2.73
Li  0.6295  0.9294  0.5589  1 Li 2.48, 3 Ag 2.57-2.73
Li  0.9294  0.3705  0.2999  1 Li 2.48, 3 Ag 2.57-2.73
La  0.0000  0.0000  0.0000  4 Li 3.18, 8 Ag 3.28
Ag  0.2713  0.3599  0.6312  5 Li 2.57-2.88
Ag  0.3599  0.7287  0.0885  5 Li 2.57-2.88
Ag  0.6401  0.2713  0.9115  5 Li 2.57-2.88
Ag  0.7287  0.6401  0.3688  5 Li 2.57-2.88

8.
A relaxed BaMg2ZnSe4 crystal, computed with PBE-GGA.

Values from the calculation:
- space group = Cmcm (63)
- raw total energy (eV per atom) = -3.7727
- total magnetization (μB per atom) = 0.00

Cell: 7.2332 7.2332 14.1473 Å, 90.00 90.00 147.29°
Last column: nearest neighbours and their distance in Å.
Sites, in units of the cell vectors:
Ba  0.1248  0.8752  0.7500  6 Se 3.24-3.33
Ba  0.8752  0.1248  0.2500  6 Se 3.24-3.33
Mg  0.3758  0.6242  0.5515  6 Se 2.77-2.96
Mg  0.3758  0.6242  0.9485  6 Se 2.77-2.96
Mg  0.6242  0.3758  0.0515  6 Se 2.77-2.96
Mg  0.6242  0.3758  0.4485  6 Se 2.77-2.96
Zn  0.1564  0.8436  0.2500  4 Se 2.44-2.46
Zn  0.8436  0.1564  0.7500  4 Se 2.44-2.46
Se  0.0000  0.0000  0.0000  4 Mg 2.77
Se  0.0000  0.0000  0.5000  4 Mg 2.77
Se  0.2543  0.7457  0.1069  1 Zn 2.44
Se  0.2543  0.7457  0.3931  1 Zn 2.44
Se  0.4435  0.5565  0.7500  2 Zn 2.46
Se  0.5565  0.4435  0.2500  2 Zn 2.46
Se  0.7457  0.2543  0.6069  1 Zn 2.44
Se  0.7457  0.2543  0.8931  1 Zn 2.44

Number 1: D(E_F) 11.09 states/eV per cell, theoretical density 8766 kg/m³. Number 2: D(E_F) 12.21 states/eV per cell, theoretical density 11937 kg/m³. Number 3: D(E_F) 18.21 states/eV per cell, theoretical density 8100 kg/m³. Number 4: D(E_F) 9.76 states/eV per cell, theoretical density 5224 kg/m³. Number 5: D(E_F) 41.47 states/eV per cell, theoretical density 15831 kg/m³. Number 6: D(E_F) 0.32 states/eV per cell, theoretical density 5746 kg/m³. Number 7: D(E_F) 4.13 states/eV per cell, theoretical density 5874 kg/m³. Number 8: D(E_F) 0.00 states/eV per cell, theoretical density 4709 kg/m³.